Record 1
Below is crystalline Sr2AlCd3Ga4 at its relaxed geometry, with properties calculated at the PBE level.

Summary:
For the formation energy, the calculation gives -305 meV per atom. For the size of the total moment, the calculation gives 0.00 μB per cell. The value obtained for the volume is 23.80 A^3/atom.

Cell: 4.5221 4.5221 11.6365 Å, 90.00 90.00 90.00°
Space group P-4m2 (No. 115)
Asymmetric unit:
Sr  0.0000  0.5000  0.2438 x2
Al  0.5000  0.5000  0.0000 x1
Cd  0.0000  0.0000  0.0000 x1
Cd  0.0000  0.5000  0.6388 x2
Ga  0.0000  0.0000  0.5000 x1
Ga  0.0000  0.5000  0.8676 x2
Ga  0.5000  0.5000  0.5000 x1

Record 2
Below is crystalline AcTiAs2 at its relaxed geometry, with properties calculated at the PBE level.

Summary:
For the formation energy, the calculation gives -1035 meV per atom. The relative energy among the computed polymorphs is 0.000 eV per atom. For the size of the total moment, the calculation gives 0.18 μB per cell. The value obtained for the volume is 24.17 A^3/atom.

Cell: 4.0642 4.0642 20.2757 Å, 90.00 90.00 120.00°
Space group R-3m (No. 166, hexagonal axes)
Asymmetric unit:
Ac  0.0000  0.0000  0.0000 x3
Ti  0.0000  0.0000  0.5000 x3
As  0.0000  0.0000  0.2320 x6

Record 3
Below is crystalline NpBiPd at its relaxed geometry, with properties calculated at the PBE level.

Summary:
For the formation energy, the calculation gives -134 meV per atom. For the size of the total moment, the calculation gives 4.66 μB per cell. The value obtained for the volume is 23.62 A^3/atom.

Cell: 4.9206 4.9206 3.3801 Å, 90.00 90.00 120.00°
Space group P-6m2 (No. 187)
Asymmetric unit:
Np  0.0000  0.0000  0.0000 x1
Bi  0.3333  0.6667  0.5000 x1
Pd  0.6667  0.3333  0.5000 x1

Record 4
Below is crystalline NdHo3Tl3 at its relaxed geometry, with properties calculated at the PBE level.

Summary:
For the formation energy, the calculation gives -247 meV per atom. The relative energy among the computed polymorphs is 0.002 eV per atom. For the size of the total moment, the calculation gives 0.00 μB per cell. The value obtained for the volume is 29.50 A^3/atom.

Cell: 9.3822 9.3822 9.3822 Å, 90.00 90.00 90.00°
Space group P2_13 (No. 198)
Asymmetric unit:
Nd  0.0693  0.4307  0.5693 x4
Ho  0.0828  0.5828  0.9172 x4
Ho  0.1779  0.1779  0.1779 x4
Ho  0.1805  0.8195  0.3195 x4
Tl  0.0005  0.2607  0.8843 x12